12
Lattice="6.065 0.000 0.000 0.000 6.065 0.000 0.000 0.000 6.065" Properties=species:S:1:pos:R:3 comment="Rb3MoF8 | the Alexandria database | PBE+U | optimized geometry" energy_ry_per_atom=-0.339 spacegroup=Pm-3m crystal_system=cubic pbc="T T T"
Rb 0.000 0.000 3.033
Rb 0.000 3.033 0.000
Rb 3.033 0.000 0.000
Mo 3.033 3.033 3.033
F 1.837 1.837 1.837
F 1.837 1.837 4.228
F 1.837 4.228 1.837
F 1.837 4.228 4.228
F 4.228 1.837 1.837
F 4.228 1.837 4.228
F 4.228 4.228 1.837
F 4.228 4.228 4.228